Record 1
Computed, not measured: YSc2Mo after structural relaxation at the GGA-PBE level of DFT.

abc: 3.9982 4.9606 9.1583
angles: 90.00 90.00 90.00
Space group Imm2 (No. 44)
Asymmetric unit:
Y (0.0000, 0.0000, 0.0000)
Sc (0.0000, 0.0000, 0.5473)
Sc (0.0000, 0.5000, 0.7738)
Mo (0.0000, 0.5000, 0.2502)

Results
distance to the lowest polymorph of the same formula = 95 meV per atom

Record 2
Computed, not measured: NpPaSe2 after structural relaxation at the GGA-PBE level of DFT.

abc: 7.1162 7.1162 7.1162
angles: 90.00 90.00 90.00
Space group Fm-3m (No. 225)
Asymmetric unit:
Np (0.0000, 0.0000, 0.0000)
Pa (0.0000, 0.0000, 0.5000)
Se (0.2500, 0.2500, 0.2500)

Results
raw formation energy = -0.949 eV per atom
distance to the lowest polymorph of the same formula = 204 meV per atom

Record 3
Computed, not measured: ScCo8B4 after structural relaxation at the GGA-PBE level of DFT.

abc: 7.4831 7.4831 4.3395
angles: 90.00 90.00 90.00
Space group I4/mmm (No. 139)
Asymmetric unit:
Sc (0.0000, 0.0000, 0.0000)
Co (0.0000, 0.2240, 0.5000)
Co (0.0000, 0.3419, 0.0000)
B (0.2500, 0.2500, 0.2500)

Results
total DFT energy (no corrections) = -7.0716 eV per atom

Record 4
Computed, not measured: AlCr2Co after structural relaxation at the GGA-PBE level of DFT.

abc: 4.1374 4.1374 2.9770
angles: 90.00 90.00 90.00
Space group P4/mmm (No. 123)
Asymmetric unit:
Al (0.0000, 0.0000, 0.0000)
Cr (0.0000, 0.5000, 0.5000)
Co (0.5000, 0.5000, 0.0000)

Results
total DFT energy (no corrections) = -7.4475 eV per atom

Record 5
Computed, not measured: Y3AlIr after structural relaxation at the GGA-PBE level of DFT.

abc: 5.3419 5.3419 5.3419
angles: 90.00 90.00 90.00
Space group Pm-3m (No. 221)
Asymmetric unit:
Y (0.0000, 0.0000, 0.5000)
Al (0.5000, 0.5000, 0.5000)
Ir (0.0000, 0.0000, 0.0000)

Results
distance to the lowest polymorph of the same formula = 0 meV per atom

Record 6
Computed, not measured: Na3WN after structural relaxation at the GGA-PBE level of DFT.

abc: 4.6720 4.6720 4.6720
angles: 90.00 90.00 90.00
Space group Pm-3m (No. 221)
Asymmetric unit:
Na (0.0000, 0.0000, 0.5000)
W (0.5000, 0.5000, 0.5000)
N (0.0000, 0.0000, 0.0000)

Results
raw formation energy = 1.806 eV per atom
distance to the lowest polymorph of the same formula = 0 meV per atom

Record 7
Computed, not measured: AcPuGeP after structural relaxation at the GGA-PBE level of DFT.

abc: 7.3594 7.3594 7.3594
angles: 90.00 90.00 90.00
Space group F-43m (No. 216)
Asymmetric unit:
Ac (0.0000, 0.0000, 0.0000)
Pu (0.0000, 0.0000, 0.5000)
Ge (0.2500, 0.2500, 0.7500)
P (0.2500, 0.2500, 0.2500)

Results
total DFT energy (no corrections) = -7.6581 eV per atom

Record 8
Computed, not measured: PaSi2Mo2 after structural relaxation at the GGA-PBE level of DFT.

abc: 7.9873 9.8665 5.5204
angles: 90.00 119.18 90.00
Space group C2/c (No. 15)
Asymmetric unit:
Pa (0.0000, 0.0962, 0.2500)
Si (0.0000, 0.2051, 0.7500)
Si (0.0000, 0.3849, 0.2500)
Mo (0.1831, 0.4066, 0.0162)

Results
raw formation energy = -0.047 eV per atom
distance to the lowest polymorph of the same formula = 393 meV per atom

Record 9
Computed, not measured: B5C7 after structural relaxation at the GGA-PBE level of DFT.

abc: 4.5061 2.5635 6.7769
angles: 90.00 90.04 90.00
Space group Pm (No. 6)
Asymmetric unit:
B (0.0000, 0.0000, 0.0000)
B (0.0300, 0.0000, 0.7617)
B (0.2199, 0.5000, 0.1157)
B (0.4270, 0.0000, 0.6598)
B (0.8251, 0.5000, 0.6344)
C (0.1982, 0.5000, 0.3492)
C (0.3655, 0.0000, 0.4200)
C (0.5038, 0.5000, 0.7766)
C (0.5321, 0.5000, 0.0028)
C (0.6764, 0.0000, 0.0902)
C (0.6901, 0.0000, 0.3214)
C (0.8527, 0.5000, 0.3993)

Results
distance to the lowest polymorph of the same formula = 188 meV per atom

Record 10
Computed, not measured: NbFeTeI2 after structural relaxation at the GGA-PBE level of DFT.

abc: 5.7055 5.7055 5.3905
angles: 90.00 90.00 90.00
Space group P4/mmm (No. 123)
Asymmetric unit:
Nb (0.0000, 0.0000, 0.0000)
Fe (0.5000, 0.5000, 0.5000)
Te (0.0000, 0.0000, 0.5000)
I (0.0000, 0.5000, 0.0000)

Results
raw formation energy = 0.772 eV per atom
distance to the lowest polymorph of the same formula = 0 meV per atom